The following is a DFT calculation (PBE-GGA) of crystalline H2IrBr6 at its relaxed geometry.

Results
Total energy, eV/atom: -3.0376

abc: 6.3082 10.0305 10.0305
angles: 81.73 98.57 98.57
Fractional coordinates of all 18 atoms:
Br 0.9921 0.4582 0.2771
Br 0.4643 0.0276 0.1583
H 0.6740 0.3473 0.3908
Br 0.4921 0.2771 0.4582
Br 0.4471 0.3041 0.8984
Ir 0.2500 0.0752 0.9248
H 0.3260 0.6527 0.6092
Ir 0.7500 0.9248 0.0752
H 0.8260 0.6092 0.6527
Br 0.9643 0.1583 0.0276
Br 0.5357 0.9724 0.8417
Br 0.5079 0.7229 0.5418
Br 0.0357 0.8417 0.9724
Br 0.0079 0.5418 0.7229
Br 0.0529 0.1016 0.6959
Br 0.9471 0.8984 0.3041
H 0.1740 0.3908 0.3473
Br 0.5529 0.6959 0.1016